No. 1
The following is a GGA-PBE calculation of a relaxed structure of HgWAu, from Alexandria.

- Energy above the most stable polymorph in this dataset: 0.632 eV/atom
- Space group: No. 216
- Magnetic moment: 0.2 Bohr magnetons per cell

Cell: 4.5041 4.5041 4.5041 Å, 60.00 60.00 60.00°
With the nearest neighbours (Å) after each atom.
Element x y z (fractional)
Hg (0.5000, 0.5000, 0.5000)  4 W 2.76
W (0.7500, 0.7500, 0.7500)  4 Au 2.76, 4 Hg 2.76
Au (0.0000, 0.0000, 0.0000)  4 W 2.76

=====

No. 2
The following is a GGA-PBE calculation of a relaxed structure of K2NbReO6, from Alexandria.

- Formation energy without anion corrections: -2.058 eV per atom
- Space group: No. 123
- Magnetic moment: 0.0 Bohr magnetons per cell

Cell: 3.9920 5.6564 5.6564 Å, 90.00 90.00 90.00°
With the nearest neighbours (Å) after each atom.
Element x y z (fractional)
O (0.6447, 0.2446, 0.2446)  1 Re 1.96, 1 Nb 2.04
O (0.1448, 0.5000, 0.5000)  2 Nb 2.00
K (0.1446, 0.5000, 0.0000)  12 O 2.83
K (0.1446, 0.0000, 0.5000)  12 O 2.83
O (0.6447, 0.7554, 0.2446)  1 Re 1.96, 1 Nb 2.04
Re (0.6446, 0.0000, 0.0000)  6 O 1.96-2.00
O (0.1446, 0.0000, 0.0000)  2 Re 2.00
Nb (0.6448, 0.5000, 0.5000)  6 O 2.00-2.04
O (0.6447, 0.7554, 0.7554)  1 Re 1.96, 1 Nb 2.04
O (0.6447, 0.2446, 0.7554)  1 Re 1.96, 1 Nb 2.04

=====

No. 3
The following is a GGA-PBE calculation of a relaxed structure of Pm7SmY3, from Alexandria.

- Energy above the most stable polymorph in this dataset: 0.000 eV/atom
- Space group: No. 2
- Magnetic moment: 0.0 Bohr magnetons per cell

Cell: 6.7868 6.5838 8.7910 Å, 81.29 79.73 96.15°
With the nearest neighbours (Å) after each atom.
Element x y z (fractional)
Y (0.5000, 0.0000, 0.0000)  8 Pm 3.45-3.76, 4 Y 3.74-3.85
Pm (0.2869, 0.4409, 0.1426)  6 Pm 3.39-3.66, 3 Y 3.63-3.75, 1 Sm 3.74
Pm (0.7359, 0.9845, 0.5815)  6 Pm 3.39-3.75, 1 Sm 3.64, 2 Y 3.69-3.76
Pm (0.0000, 0.5000, 0.5000)  2 Sm 3.39, 2 Y 3.46, 6 Pm 3.49-3.60
Y (0.9333, 0.8174, 0.1672)  2 Y 3.42-3.74, 6 Pm 3.44-3.74
Pm (0.2641, 0.0155, 0.4185)  6 Pm 3.39-3.75, 1 Sm 3.64, 2 Y 3.69-3.76
Sm (0.5000, 0.5000, 0.5000)  8 Pm 3.39-3.74
Y (0.0667, 0.1826, 0.8328)  2 Y 3.42-3.74, 6 Pm 3.44-3.74
Pm (0.7728, 0.2885, 0.2080)  6 Pm 3.43-3.74, 4 Y 3.44-3.74, 1 Sm 3.45
Pm (0.7131, 0.5591, 0.8574)  6 Pm 3.39-3.66, 3 Y 3.63-3.75, 1 Sm 3.74
Pm (0.2272, 0.7115, 0.7920)  6 Pm 3.43-3.74, 4 Y 3.44-3.74, 1 Sm 3.45

=====

No. 4
The following is a GGA-PBE calculation of a relaxed structure of Ac2Cd5Pb, from Alexandria.

- Energy above the most stable polymorph in this dataset: 0.000 eV/atom
- Space group: No. 63
- Magnetic moment: 0.0 Bohr magnetons per cell

Cell: 4.9671 9.5074 10.1461 Å, 90.00 90.00 105.14°
With the nearest neighbours (Å) after each atom.
Element x y z (fractional)
Cd (0.1868, 0.3737, 0.8926)  4 Cd 2.87-3.04
Ac (0.0000, 0.0000, 0.5000)  6 Cd 3.60-3.77, 4 Pb 3.68
Ac (0.0000, 0.0000, 0.0000)  6 Cd 3.60-3.77, 4 Pb 3.68
Pb (0.4477, 0.8955, 0.7500)  3 Cd 2.90-2.97
Cd (0.3457, 0.6915, 0.5222)  4 Cd 2.87-3.04, 1 Pb 2.97
Pb (0.5523, 0.1045, 0.2500)  3 Cd 2.90-2.97
Cd (0.6543, 0.3085, 0.4778)  4 Cd 2.87-3.04, 1 Pb 2.97
Cd (0.6057, 0.2115, 0.7500)  1 Pb 2.90, 6 Cd 2.90-3.24
Cd (0.3457, 0.6915, 0.9778)  4 Cd 2.87-3.04, 1 Pb 2.97
Cd (0.6543, 0.3085, 0.0222)  4 Cd 2.87-3.04, 1 Pb 2.97
Cd (0.3943, 0.7885, 0.2500)  1 Pb 2.90, 6 Cd 2.90-3.24
Ac (0.2009, 0.4018, 0.2500)  13 Cd 3.50-3.83, 2 Pb 3.69
Cd (0.8132, 0.6263, 0.1074)  4 Cd 2.87-3.04
Cd (0.8132, 0.6263, 0.3926)  4 Cd 2.87-3.04
Cd (0.1868, 0.3737, 0.6074)  4 Cd 2.87-3.04
Ac (0.7991, 0.5982, 0.7500)  13 Cd 3.50-3.83, 2 Pb 3.69

=====

No. 5
The following is a GGA-PBE calculation of a relaxed structure of PuH6PdRh, from Alexandria.

- Space group: No. 187
- Magnetic moment: 5.0 Bohr magnetons per cell
- Raw total energy: -5.415 eV/atom

Cell: 4.7642 4.7640 4.1585 Å, 90.00 90.00 59.99°
With the nearest neighbours (Å) after each atom.
Element x y z (fractional)
H (0.0166, 0.4923, 0.7744)  1 Rh 1.73, 1 Pd 1.84, 1 H 1.88
H (0.4909, 0.0167, 0.7744)  1 Rh 1.73, 1 Pd 1.84, 1 H 1.88
Pu (0.0000, 0.0000, 0.0000)  12 H 2.56
H (0.4923, 0.4910, 0.7745)  1 Rh 1.74, 1 Pd 1.84, 1 H 1.88
Pd (0.6666, 0.6667, 0.5001)  6 H 1.84
H (0.4911, 0.4924, 0.2255)  1 Rh 1.73, 1 Pd 1.84, 1 H 1.88
Rh (0.3333, 0.3334, 0.4999)  6 H 1.73-1.74
H (0.4923, 0.0166, 0.2256)  1 Rh 1.73, 1 Pd 1.84, 1 H 1.88
H (0.0166, 0.4910, 0.2256)  1 Rh 1.73, 1 Pd 1.84, 1 H 1.88

=====

No. 6
The following is a GGA-PBE calculation of a relaxed structure of Ta3RuBr, from Alexandria.

- Energy above the most stable polymorph in this dataset: 0.414 eV/atom
- Formation energy without anion corrections: 1.675 eV per atom
- Space group: No. 221
- Magnetic moment: 0.0 Bohr magnetons per cell

Cell: 4.6456 4.6456 4.6456 Å, 90.00 90.00 90.00°
With the nearest neighbours (Å) after each atom.
Element x y z (fractional)
Ru (0.5000, 0.5000, 0.5000)  12 Ta 3.28
Ta (0.5000, 0.0000, 0.0000)  2 Br 2.32
Ta (0.0000, 0.0000, 0.5000)  2 Br 2.32
Br (0.0000, 0.0000, 0.0000)  6 Ta 2.32
Ta (0.0000, 0.5000, 0.0000)  2 Br 2.32